## YbMg2 (PBE)

Data for an optimized crystal structure of YbMg2.

Symmetry = No. 227
VASP energy = -9.99 eV for the cell shown
Density = 4.4 g cm⁻³
ΔE_f = -9.01 kJ per mole of atoms

Cell lengths 6.2014, 6.2014, 6.2014 Å; angles 60.00, 60.00, 60.00 degrees
Closest atoms and distances in Å follow each position.
Fractional coordinates of all 6 atoms:
Mg  0.0000  0.0000  0.5000  6 Mg 3.10
Mg  0.5000  0.5000  0.5000  6 Mg 3.10
Mg  0.0000  0.5000  0.0000  6 Mg 3.10
Mg  0.0000  0.5000  0.5000  6 Mg 3.10
Yb  0.6250  0.1250  0.1250  12 Mg 3.64, 4 Yb 3.80
Yb  0.3750  0.8750  0.8750  12 Mg 3.64, 4 Yb 3.80



## CsMn3Bi (PBE)

Data for an optimized crystal structure of CsMn3Bi.

Symmetry = No. 221
VASP energy = -21.85 eV for the cell shown
Density = 5.9 g cm⁻³
ΔE_f = 200.49 kJ per mole of atoms

Cell lengths 5.2236, 5.2236, 5.2236 Å; angles 90.00, 90.00, 90.00 degrees
Closest atoms and distances in Å follow each position.
Fractional coordinates of all 5 atoms:
Mn  0.0000  0.0000  0.5000  2 Cs 2.61
Mn  0.5000  0.0000  0.0000  2 Cs 2.61
Mn  0.0000  0.5000  0.0000  2 Cs 2.61
Cs  0.0000  0.0000  0.0000  6 Mn 2.61
Bi  0.5000  0.5000  0.5000  12 Mn 3.69



## TlZnPCl2 (PBE)

Data for an optimized crystal structure of TlZnPCl2.

Symmetry = No. 123
ΔE_f (raw) = -121 kJ/mol of formula units
VASP energy = -13.99 eV for the cell shown
Polymorph energy (0 for the lowest one) = 0.00 eV per formula unit
Density = 4.7 g cm⁻³

Cell lengths 5.2780, 5.2780, 4.7099 Å; angles 90.00, 90.00, 90.00 degrees
Closest atoms and distances in Å follow each position.
Fractional coordinates of all 5 atoms:
Zn  0.0000  0.0000  0.0000  2 P 2.35
Tl  0.5000  0.5000  0.5000  8 Cl 3.54, 4 P 3.73
Cl  0.0000  0.5000  0.0000  2 Zn 2.64
Cl  0.5000  0.0000  0.0000  2 Zn 2.64
P  0.0000  0.0000  0.5000  2 Zn 2.35



Number 2 is which compound? CsMn3Bi



Which of these has the lowest VASP energy? CsMn3Bi